Record 1
# K4AcDy3O8 (GGA-PBE, relaxed)
data_K4AcDy3O8
_symmetry_space_group_name_H-M 'P 1'
_symmetry_Int_Tables_number 1
_symmetry_space_group_name_Hall 'P 1'
_cell_length_a 7.5238
_cell_length_b 7.5238
_cell_length_c 7.5238
_cell_angle_alpha 56.91
_cell_angle_beta 56.91
_cell_angle_gamma 56.91
loop_
_atom_site_label
_atom_site_fract_x
_atom_site_fract_y
_atom_site_fract_z
_atom_site_occupancy
K1 0.0000 0.0000 0.0000 1
K2 0.0000 0.5000 0.5000 1
K3 0.5000 0.0000 0.5000 1
K4 0.5000 0.5000 0.0000 1
Ac1 0.5000 0.5000 0.5000 1
Dy1 0.0000 0.0000 0.5000 1
Dy2 0.0000 0.5000 0.0000 1
Dy3 0.5000 0.0000 0.0000 1
O1 0.2102 0.7386 0.7386 1
O2 0.2290 0.2290 0.2290 1
O3 0.2614 0.2614 0.7898 1
O4 0.2614 0.7898 0.2614 1
O5 0.7386 0.2102 0.7386 1
O6 0.7386 0.7386 0.2102 1
O7 0.7710 0.7710 0.7710 1
O8 0.7898 0.2614 0.2614 1
# Energy in eV/atom: -6.56
# SG: R-3m


Record 2
# V4NiPt4 (GGA-PBE, relaxed)
data_V4NiPt4
_symmetry_space_group_name_H-M 'P 1'
_symmetry_Int_Tables_number 1
_symmetry_space_group_name_Hall 'P 1'
_cell_length_a 6.1566
_cell_length_b 6.1566
_cell_length_c 6.1566
_cell_angle_alpha 95.12
_cell_angle_beta 95.12
_cell_angle_gamma 145.25
loop_
_atom_site_label
_atom_site_fract_x
_atom_site_fract_y
_atom_site_fract_z
_atom_site_occupancy
V1 0.0000 0.3357 0.3357 1
V2 0.0000 0.6643 0.6643 1
V3 0.3357 0.0000 0.3357 1
V4 0.6643 0.0000 0.6643 1
Ni1 0.0000 0.0000 0.0000 1
Pt1 0.3346 0.3346 0.6691 1
Pt2 0.3346 0.6654 0.0000 1
Pt3 0.6654 0.3346 0.0000 1
Pt4 0.6654 0.6654 0.3309 1
# SG: I4/mmm
# Formation energy in eV/atom: -0.389